Li4Cr3AsO8: optimized geometry, GGA+U.

Cell lengths 6.0110, 6.0110, 6.0110 Å; angles 60.31, 60.31, 60.31 degrees
Last column: nearest neighbours and their distance in Å.
Atoms (fractional coordinates):
Li: 0.0000 0.0000 0.0000  6 O 2.12
Li: 0.0000 0.5000 0.5000  6 O 2.21-2.22
Li: 0.5000 0.0000 0.5000  6 O 2.21-2.22
Li: 0.5000 0.5000 0.0000  6 O 2.21-2.22
Cr: 0.0000 0.0000 0.5000  6 O 2.05-2.06
Cr: 0.0000 0.5000 0.0000  6 O 2.05-2.06
Cr: 0.5000 0.0000 0.0000  6 O 2.05-2.06
As: 0.5000 0.5000 0.5000  6 O 2.14
O: 0.2285 0.7511 0.7511  2 Cr 2.05, 3 Li 2.12-2.22, 1 As 2.14
O: 0.2407 0.2407 0.2407  3 Cr 2.06, 3 Li 2.21
O: 0.2489 0.2489 0.7715  2 Cr 2.05, 3 Li 2.12-2.22, 1 As 2.14
O: 0.2489 0.7715 0.2489  2 Cr 2.05, 3 Li 2.12-2.22, 1 As 2.14
O: 0.7511 0.2285 0.7511  2 Cr 2.05, 3 Li 2.12-2.22, 1 As 2.14
O: 0.7511 0.7511 0.2285  2 Cr 2.05, 3 Li 2.12-2.22, 1 As 2.14
O: 0.7593 0.7593 0.7593  3 Cr 2.06, 3 Li 2.21
O: 0.7715 0.2489 0.2489  2 Cr 2.05, 3 Li 2.12-2.22, 1 As 2.14

Total magnetic moment, Bohr magnetons per cell: 9.0
Final energy, eV/atom: -6.50